# 1
The following is a DFT calculation (PBE) of an optimized crystal structure of Tb4GeO3.

Unit cell a=5.207 b=5.207 c=10.115 alpha=90.00 beta=90.00 gamma=90.00
Space group I4/mmm (No. 139)
Symmetry-distinct sites (fractional):
1 Tb 0.000 0.000 0.232 (multiplicity 4)
2 Tb 0.000 0.500 0.000 (multiplicity 4)
3 Ge 0.000 0.000 0.500 (multiplicity 2)
4 O 0.000 0.000 0.000 (multiplicity 2)
5 O 0.000 0.500 0.250 (multiplicity 4)

Summary:
Uncorrected energy ... -6.883 eV/atom
Magnetization ... 0.01 μB/cell

***

# 2
The following is a DFT calculation (PBE) of an optimized crystal structure of Sr3Ta2ZnO9.

Unit cell a=5.6747 b=5.6747 c=6.9898 alpha=90.00 beta=90.00 gamma=120.00
Space group P-3m1 (No. 164)
Symmetry-distinct sites (fractional):
1 Sr 0.0000 0.0000 0.0000 (multiplicity 1)
2 Sr 0.3333 0.6667 0.6608 (multiplicity 2)
3 Ta 0.3333 0.6667 0.1765 (multiplicity 2)
4 Zn 0.0000 0.0000 0.5000 (multiplicity 1)
5 O 0.0000 0.5000 0.0000 (multiplicity 3)
6 O 0.1692 0.3383 0.3259 (multiplicity 6)

Summary:
Uncorrected energy ... -7.781 eV/atom
Magnetization ... 0.01 μB/cell

***

# 3
The following is a DFT calculation (PBE) of an optimized crystal structure of KGdHoCu2.

Unit cell a=3.755 b=4.337 c=17.392 alpha=90.00 beta=90.00 gamma=90.00
Space group Amm2 (No. 38)
Symmetry-distinct sites (fractional):
1 K 0.000 0.000 0.000 (multiplicity 2)
2 Gd 0.500 0.000 0.330 (multiplicity 2)
3 Ho 0.500 0.000 0.669 (multiplicity 2)
4 Cu 0.000 0.000 0.204 (multiplicity 2)
5 Cu 0.000 0.000 0.792 (multiplicity 2)

Summary:
Uncorrected energy ... -3.559 eV/atom
Magnetization ... 0.03 μB/cell

***

# 4
The following is a DFT calculation (PBE) of an optimized crystal structure of Pr2LuIn3AgPt2.

Unit cell a=3.914 b=13.600 c=7.914 alpha=90.00 beta=90.00 gamma=90.00
Space group Amm2 (No. 38)
Symmetry-distinct sites (fractional):
1 Pr 0.000 0.206 0.000 (multiplicity 4)
2 Lu 0.000 0.000 0.621 (multiplicity 2)
3 In 0.500 0.000 0.941 (multiplicity 2)
4 In 0.500 0.130 0.341 (multiplicity 4)
5 Ag 0.000 0.000 0.211 (multiplicity 2)
6 Pt 0.500 0.158 0.702 (multiplicity 4)

Summary:
Uncorrected energy ... -4.916 eV/atom
Magnetization ... 0.01 μB/cell

***

# 5
The following is a DFT calculation (PBE) of an optimized crystal structure of ZnGaCuOs.

Unit cell a=6.030 b=6.030 c=6.030 alpha=90.00 beta=90.00 gamma=90.00
Space group F-43m (No. 216)
Symmetry-distinct sites (fractional):
1 Zn 0.000 0.000 0.000 (multiplicity 4)
2 Ga 0.000 0.000 0.500 (multiplicity 4)
3 Cu 0.250 0.250 0.750 (multiplicity 4)
4 Os 0.250 0.250 0.250 (multiplicity 4)

Summary:
Uncorrected energy ... -4.721 eV/atom
Magnetization ... 0.00 μB/cell

***

# 6
The following is a DFT calculation (PBE) of an optimized crystal structure of Bi4PdO7.

Unit cell a=13.111 b=4.025 c=9.154 alpha=90.00 beta=132.95 gamma=90.00
Space group C2/m (No. 12)
Symmetry-distinct sites (fractional):
1 Bi 0.081 0.000 0.385 (multiplicity 4)
2 Bi 0.249 0.000 0.160 (multiplicity 4)
3 Pd 0.000 0.500 0.000 (multiplicity 2)
4 O 0.000 0.000 0.000 (multiplicity 2)
5 O 0.086 0.500 0.878 (multiplicity 4)
6 O 0.133 0.000 0.683 (multiplicity 4)
7 O 0.199 0.500 0.552 (multiplicity 4)

Summary:
Uncorrected energy ... -5.673 eV/atom

***

# 7
The following is a DFT calculation (PBE) of an optimized crystal structure of SrHoGa4Pt2.

Unit cell a=6.909 b=4.397 c=10.394 alpha=90.00 beta=90.00 gamma=90.00
Space group Amm2 (No. 38)
Symmetry-distinct sites (fractional):
1 Sr 0.000 0.000 0.000 (multiplicity 2)
2 Ho 0.500 0.000 0.840 (multiplicity 2)
3 Ga 0.200 0.000 0.286 (multiplicity 4)
4 Ga 0.309 0.000 0.558 (multiplicity 4)
5 Pt 0.000 0.000 0.715 (multiplicity 2)
6 Pt 0.500 0.000 0.127 (multiplicity 2)

Summary:
Uncorrected energy ... -4.598 eV/atom
Magnetization ... 0.05 μB/cell

***

# 8
The following is a DFT calculation (PBE) of an optimized crystal structure of AcNiH4.

Unit cell a=4.178 b=4.923 c=6.438 alpha=90.00 beta=108.08 gamma=90.00
Space group P2_1/m (No. 11)
Symmetry-distinct sites (fractional):
1 Ac 0.134 0.250 0.263 (multiplicity 2)
2 Ni 0.367 0.250 0.816 (multiplicity 2)
3 H 0.024 0.750 0.163 (multiplicity 2)
4 H 0.317 0.011 0.630 (multiplicity 4)
5 H 0.500 0.000 0.000 (multiplicity 2)

Summary:
Uncorrected energy ... -4.315 eV/atom
Magnetization ... 0.00 μB/cell